[1]
A relaxed structure of U2Ni6Os, computed with PBE-GGA.

Cell lengths 3.536, 3.536, 10.329 Å; angles 90.00, 90.00, 90.00 degrees
Atoms (fractional coordinates):
U  0.000  0.000  0.135
U  0.000  0.000  0.865
Ni  0.000  0.000  0.500
Ni  0.000  0.500  0.327
Ni  0.000  0.500  0.673
Ni  0.500  0.000  0.327
Ni  0.500  0.000  0.673
Ni  0.500  0.500  0.500
Os  0.500  0.500  0.000

- magnetization (μB per formula unit) = 0.9
- final energy (eV/atom) = -7.59
- DFT formation energy (eV per atom) = 0.017
- space-group type = P4/mmm, No. 123

[2]
A relaxed structure of UZnNiOs, computed with PBE-GGA.

Cell lengths 4.531, 4.531, 4.531 Å; angles 60.00, 60.00, 60.00 degrees
Atoms (fractional coordinates):
U  0.000  0.000  0.000
Zn  0.500  0.500  0.500
Ni  0.250  0.250  0.250
Os  0.750  0.750  0.750

- magnetization (μB per formula unit) = 1.2
- final energy (eV/atom) = -7.38
- DFT formation energy (eV per atom) = 0.013
- space-group type = F-43m, No. 216

[3]
A relaxed structure of VNiOs, computed with PBE-GGA.

Cell lengths 4.343, 4.343, 8.716 Å; angles 104.87, 104.87, 34.18 degrees
Atoms (fractional coordinates):
V  0.118  0.118  0.432
V  0.882  0.882  0.568
Ni  0.340  0.340  0.285
Ni  0.660  0.660  0.715
Os  0.029  0.029  0.142
Os  0.971  0.971  0.858

- magnetization (μB per formula unit) = 0.0
- final energy (eV/atom) = -8.15
- DFT formation energy (eV per atom) = 0.558
- energy above the most stable polymorph in this dataset (meV/atom) = 795.1
- space-group type = C2/m, No. 12

[4]
A relaxed structure of VNiOs, computed with PBE-GGA.

Cell lengths 4.190, 4.190, 2.551 Å; angles 90.00, 90.00, 120.00 degrees
Atoms (fractional coordinates):
V  0.000  0.000  0.000
Ni  0.667  0.333  0.181
Os  0.333  0.667  0.649

- magnetization (μB per formula unit) = 0.0
- final energy (eV/atom) = -8.83
- DFT formation energy (eV per atom) = -0.122
- energy above the most stable polymorph in this dataset (meV/atom) = 115.1
- space-group type = P3m1, No. 156

[5]
A relaxed structure of VNi2Os, computed with PBE-GGA.

Cell lengths 9.069, 9.069, 9.069 Å; angles 157.75, 157.75, 31.67 degrees
Atoms (fractional coordinates):
V  0.000  0.000  0.000
V  0.750  0.250  0.500
Ni  0.127  0.625  0.002
Ni  0.375  0.377  0.502
Ni  0.623  0.125  0.998
Ni  0.875  0.873  0.498
Os  0.250  0.750  0.500
Os  0.500  0.500  0.000

- magnetization (μB per formula unit) = 0.0
- final energy (eV/atom) = -7.63
- DFT formation energy (eV per atom) = 0.347
- energy above the most stable polymorph in this dataset (meV/atom) = 505.4
- space-group type = I-42d, No. 122

[6]
A relaxed structure of V4Ni2Os, computed with PBE-GGA.

Cell lengths 6.747, 6.747, 6.747 Å; angles 140.49, 140.49, 57.12 degrees
Atoms (fractional coordinates):
V  0.000  0.500  0.500
V  0.203  0.203  0.000
V  0.500  0.000  0.500
V  0.797  0.797  0.000
Ni  0.399  0.399  0.000
Ni  0.601  0.601  0.000
Os  0.000  0.000  0.000

- magnetization (μB per formula unit) = 3.8
- final energy (eV/atom) = -7.51
- DFT formation energy (eV per atom) = 0.955
- space-group type = I4/mmm, No. 139